The following is a DFT calculation (GGA-PBE) of an optimized crystal structure of Mn2CdW.

* symmetry: No. 12
* energy relative to the elements: 471 meV/atom
* crystal system: monoclinic
* magnetization: 5.800 μB per formula unit

Lattice parameters (Å, degrees): 4.6324 4.6324 5.2902 95.56 95.56 34.40
With the nearest neighbours (Å) after each atom.
Sites, in units of the cell vectors:
Mn (0.2493, 0.2493, 0.2185)  3 W 2.60-2.75, 4 Mn 2.69-2.74, 3 Cd 2.78-2.89
Mn (0.7507, 0.7507, 0.7815)  3 W 2.60-2.75, 4 Mn 2.69-2.74, 3 Cd 2.78-2.89
Cd (0.0000, 0.0000, 0.5000)  2 Cd 2.74, 6 Mn 2.78-2.89, 4 W 2.98
W (0.5000, 0.5000, 0.0000)  6 Mn 2.60-2.75, 2 W 2.74